No. 1
# GGA-PBE CeUIrPd, optimized geometry
# * raw total energy: -8.36 eV per atom
# * crystal system: cubic
# * theoretical density: 15.12 g/cm³
# * formation enthalpy at 0 K: -0.537 eV/atom
# * DOS at the Fermi energy: 7.9 states/eV per cell
# * spin magnetization: 1.16 μB per formula unit
data_CeUIrPd
_space_group_name_H-M_alt 'P 1'
_space_group_IT_number 1
_cell_length_a 4.7192
_cell_length_b 4.7192
_cell_length_c 4.7192
_cell_angle_alpha 60.00
_cell_angle_beta 60.00
_cell_angle_gamma 60.00
loop_
_space_group_symop_operation_xyz
'x,y,z'
loop_
_atom_site_label
_atom_site_type_symbol
_atom_site_fract_x
_atom_site_fract_y
_atom_site_fract_z
_atom_site_occupancy
Pd1 Pd 0.2500 0.2500 0.2500 1
U1 U 0.7500 0.7500 0.7500 1
Ir1 Ir 0.5000 0.5000 0.5000 1
Ce1 Ce 0.0000 0.0000 0.0000 1



No. 2
# GGA-PBE CeYIrPd, optimized geometry
# * raw total energy: -7.35 eV per atom
# * crystal system: cubic
# * theoretical density: 10.13 g/cm³
# * formation enthalpy at 0 K: -0.740 eV/atom
# * DOS at the Fermi energy: 8.0 states/eV per cell
# * spin magnetization: 0.73 μB per formula unit
data_CeYIrPd
_space_group_name_H-M_alt 'P 1'
_space_group_IT_number 1
_cell_length_a 4.9642
_cell_length_b 4.9642
_cell_length_c 4.9642
_cell_angle_alpha 60.00
_cell_angle_beta 60.00
_cell_angle_gamma 60.00
loop_
_space_group_symop_operation_xyz
'x,y,z'
loop_
_atom_site_label
_atom_site_type_symbol
_atom_site_fract_x
_atom_site_fract_y
_atom_site_fract_z
_atom_site_occupancy
Pd1 Pd 0.5000 0.5000 0.5000 1
Ce1 Ce 0.2500 0.2500 0.2500 1
Y1 Y 0.7500 0.7500 0.7500 1
Ir1 Ir 0.0000 0.0000 0.0000 1



No. 3
# GGA-PBE CeYIrPd, optimized geometry
# * raw total energy: -7.45 eV per atom
# * crystal system: orthorhombic
# * theoretical density: 9.75 g/cm³
# * formation enthalpy at 0 K: -0.842 eV/atom
# * DOS at the Fermi energy: 4.3 states/eV per cell
# * spin magnetization: 0.00 μB per formula unit
data_CeYIrPd
_space_group_name_H-M_alt 'P 1'
_space_group_IT_number 1
_cell_length_a 3.8237
_cell_length_b 4.1781
_cell_length_c 5.9406
_cell_angle_alpha 90.00
_cell_angle_beta 108.77
_cell_angle_gamma 90.00
loop_
_space_group_symop_operation_xyz
'x,y,z'
loop_
_atom_site_label
_atom_site_type_symbol
_atom_site_fract_x
_atom_site_fract_y
_atom_site_fract_z
_atom_site_occupancy
Pd1 Pd 0.5856 0.5000 0.1713 1
Ir1 Ir 0.4036 0.0000 0.8072 1
Y1 Y 0.1436 0.0000 0.2872 1
Ce1 Ce 0.8672 0.5000 0.7343 1



No. 4
# GGA-PBE CeZrIrPd, optimized geometry
# * raw total energy: -7.73 eV per atom
# * crystal system: cubic
# * theoretical density: 10.91 g/cm³
# * formation enthalpy at 0 K: -0.597 eV/atom
# * DOS at the Fermi energy: 7.1 states/eV per cell
# * spin magnetization: 0.62 μB per formula unit
data_CeZrIrPd
_space_group_name_H-M_alt 'P 1'
_space_group_IT_number 1
_cell_length_a 4.8492
_cell_length_b 4.8492
_cell_length_c 4.8492
_cell_angle_alpha 60.00
_cell_angle_beta 60.00
_cell_angle_gamma 60.00
loop_
_space_group_symop_operation_xyz
'x,y,z'
loop_
_atom_site_label
_atom_site_type_symbol
_atom_site_fract_x
_atom_site_fract_y
_atom_site_fract_z
_atom_site_occupancy
Zr1 Zr 0.2500 0.2500 0.2500 1
Ir1 Ir 0.0000 0.0000 0.0000 1
Pd1 Pd 0.5000 0.5000 0.5000 1
Ce1 Ce 0.7500 0.7500 0.7500 1



No. 5
# GGA-PBE CePmIr2, optimized geometry
# * raw total energy: -7.83 eV per atom
# * crystal system: monoclinic
# * theoretical density: 12.34 g/cm³
# * formation enthalpy at 0 K: -0.731 eV/atom
# * DOS at the Fermi energy: 12.5 states/eV per cell
# * spin magnetization: 0.00 μB per formula unit
data_CePmIr2
_space_group_name_H-M_alt 'P 1'
_space_group_IT_number 1
_cell_length_a 7.3506
_cell_length_b 5.7869
_cell_length_c 8.4732
_cell_angle_alpha 90.00
_cell_angle_beta 90.03
_cell_angle_gamma 90.00
loop_
_space_group_symop_operation_xyz
'x,y,z'
loop_
_atom_site_label
_atom_site_type_symbol
_atom_site_fract_x
_atom_site_fract_y
_atom_site_fract_z
_atom_site_occupancy
Ce1 Ce 0.6775 0.1485 0.6266 1
Ce2 Ce 0.1775 0.3515 0.6266 1
Pm1 Pm 0.6776 0.1397 0.1230 1
Ce3 Ce 0.8225 0.6485 0.3734 1
Ir1 Ir 0.9450 0.1723 0.3866 1
Pm2 Pm 0.1776 0.3603 0.1230 1
Ir2 Ir 0.4532 0.3529 0.8619 1
Ir3 Ir 0.0550 0.8277 0.6134 1
Ir4 Ir 0.0468 0.8529 0.1381 1
Ir5 Ir 0.5468 0.6471 0.1381 1
Pm3 Pm 0.8224 0.6397 0.8770 1
Ir6 Ir 0.9532 0.1471 0.8619 1
Ce4 Ce 0.3225 0.8515 0.3734 1
Ir7 Ir 0.5550 0.6723 0.6134 1
Ir8 Ir 0.4450 0.3277 0.3866 1
Pm4 Pm 0.3224 0.8603 0.8770 1



No. 6
# GGA-PBE Ce3Pm2Ir2, optimized geometry
# * raw total energy: -6.92 eV per atom
# * crystal system: monoclinic
# * theoretical density: 9.82 g/cm³
# * formation enthalpy at 0 K: -0.485 eV/atom
# * DOS at the Fermi energy: 12.6 states/eV per cell
# * spin magnetization: 0.42 μB per formula unit
data_Ce3Pm2Ir2
_space_group_name_H-M_alt 'P 1'
_space_group_IT_number 1
_cell_length_a 3.8920
_cell_length_b 6.2629
_cell_length_c 8.7760
_cell_angle_alpha 113.15
_cell_angle_beta 90.00
_cell_angle_gamma 108.10
loop_
_space_group_symop_operation_xyz
'x,y,z'
loop_
_atom_site_label
_atom_site_type_symbol
_atom_site_fract_x
_atom_site_fract_y
_atom_site_fract_z
_atom_site_occupancy
Ce1 Ce 0.6177 0.2355 0.4489 1
Ir1 Ir 0.8565 0.7130 0.7632 1
Ce2 Ce 0.5000 0.0000 0.0000 1
Ce3 Ce 0.3823 0.7645 0.5511 1
Ir2 Ir 0.1435 0.2870 0.2368 1
Pm1 Pm 0.1601 0.3202 0.8095 1
Pm2 Pm 0.8399 0.6798 0.1905 1



No. 7
# GGA-PBE Ce5Pm2Ir5, optimized geometry
# * raw total energy: -7.60 eV per atom
# * crystal system: monoclinic
# * theoretical density: 10.44 g/cm³
# * formation enthalpy at 0 K: -0.648 eV/atom
# * DOS at the Fermi energy: 21.9 states/eV per cell
# * spin magnetization: 2.12 μB per formula unit
data_Ce5Pm2Ir5
_space_group_name_H-M_alt 'P 1'
_space_group_IT_number 1
_cell_length_a 3.9418
_cell_length_b 6.9965
_cell_length_c 12.0827
_cell_angle_alpha 103.32
_cell_angle_beta 90.00
_cell_angle_gamma 106.36
loop_
_space_group_symop_operation_xyz
'x,y,z'
loop_
_atom_site_label
_atom_site_type_symbol
_atom_site_fract_x
_atom_site_fract_y
_atom_site_fract_z
_atom_site_occupancy
Ce1 Ce 0.3469 0.6938 0.9500 1
Ir1 Ir 0.8833 0.7666 0.5689 1
Ir2 Ir 0.1167 0.2334 0.4311 1
Ce2 Ce 0.2657 0.5314 0.6459 1
Ce3 Ce 0.6531 0.3062 0.0500 1
Ce4 Ce 0.7343 0.4686 0.3541 1
Ir3 Ir 0.2893 0.5787 0.1804 1
Ir4 Ir 0.7107 0.4213 0.8196 1
Ir5 Ir 0.0000 0.0000 0.0000 1
Pm1 Pm 0.9560 0.9119 0.2178 1
Pm2 Pm 0.0440 0.0881 0.7822 1
Ce5 Ce 0.5000 0.0000 0.5000 1



No. 8
# GGA-PBE CePmIr, optimized geometry
# * raw total energy: -6.98 eV per atom
# * crystal system: trigonal
# * theoretical density: 8.61 g/cm³
# * formation enthalpy at 0 K: -0.465 eV/atom
# * DOS at the Fermi energy: 6.5 states/eV per cell
# * spin magnetization: 1.09 μB per formula unit
data_CePmIr
_space_group_name_H-M_alt 'P 1'
_space_group_IT_number 1
_cell_length_a 6.2541
_cell_length_b 4.1217
_cell_length_c 4.1217
_cell_angle_alpha 120.00
_cell_angle_beta 90.00
_cell_angle_gamma 90.00
loop_
_space_group_symop_operation_xyz
'x,y,z'
loop_
_atom_site_label
_atom_site_type_symbol
_atom_site_fract_x
_atom_site_fract_y
_atom_site_fract_z
_atom_site_occupancy
Ce1 Ce 0.2360 0.3333 0.6667 1
Ir1 Ir 0.0095 0.0000 0.0000 1
Pm1 Pm 0.7545 0.6667 0.3333 1



Repeat the sixth record exactly.
# GGA-PBE Ce3Pm2Ir2, optimized geometry
# * raw total energy: -6.92 eV per atom
# * crystal system: monoclinic
# * theoretical density: 9.82 g/cm³
# * formation enthalpy at 0 K: -0.485 eV/atom
# * DOS at the Fermi energy: 12.6 states/eV per cell
# * spin magnetization: 0.42 μB per formula unit
data_Ce3Pm2Ir2
_space_group_name_H-M_alt 'P 1'
_space_group_IT_number 1
_cell_length_a 3.8920
_cell_length_b 6.2629
_cell_length_c 8.7760
_cell_angle_alpha 113.15
_cell_angle_beta 90.00
_cell_angle_gamma 108.10
loop_
_space_group_symop_operation_xyz
'x,y,z'
loop_
_atom_site_label
_atom_site_type_symbol
_atom_site_fract_x
_atom_site_fract_y
_atom_site_fract_z
_atom_site_occupancy
Ce1 Ce 0.6177 0.2355 0.4489 1
Ir1 Ir 0.8565 0.7130 0.7632 1
Ce2 Ce 0.5000 0.0000 0.0000 1
Ce3 Ce 0.3823 0.7645 0.5511 1
Ir2 Ir 0.1435 0.2870 0.2368 1
Pm1 Pm 0.1601 0.3202 0.8095 1
Pm2 Pm 0.8399 0.6798 0.1905 1



Among the records above, which one has the lowest raw total energy?
CeUIrPd